! P2WCS GGA-PBE optimized geometry; values from VASP
&SYSTEM
  ibrav = 0, nat = 5, ntyp = 4
/
ATOMIC_SPECIES
P 30.97 P.upf
W 183.84 W.upf
C 12.01 C.upf
S 32.06 S.upf
CELL_PARAMETERS angstrom
4.744 0.000 0.000
0.000 4.744 0.000
0.000 0.000 4.552
ATOMIC_POSITIONS crystal
P 0.000 0.500 0.000
P 0.500 0.000 0.000
W 0.000 0.000 0.000
C 0.500 0.500 0.500
S 0.000 0.000 0.500
! size of the total moment = 1.48 μB/cell
! calculated total energy = -5.7274 eV/atom
! energy relative to the lowest polymorph listed for this composition = 506 meV/atom
! energy relative to the elements, uncorrected = 1.697 eV/atom
! N(E_F) = 4.2 states/eV/cell

---

! AlSiOF2 GGA-PBE optimized geometry; values from VASP
&SYSTEM
  ibrav = 0, nat = 5, ntyp = 4
/
ATOMIC_SPECIES
Al 26.98 Al.upf
Si 28.09 Si.upf
O 16.00 O.upf
F 19.00 F.upf
CELL_PARAMETERS angstrom
4.370 0.000 0.000
0.000 4.370 0.000
0.000 0.000 3.492
ATOMIC_POSITIONS crystal
Al 0.000 0.000 0.000
Si 0.500 0.500 0.500
O 0.500 0.500 0.000
F 0.000 0.500 0.500
F 0.500 0.000 0.500
! size of the total moment = 0.00 μB/cell
! calculated total energy = -4.9820 eV/atom
! energy relative to the lowest polymorph listed for this composition = 355 meV/atom
! energy relative to the elements, uncorrected = -1.409 eV/atom
! N(E_F) = 1.2 states/eV/cell

---

Q: Look up the energy relative to the elements, uncorrected of the second one.
A: -1.409 eV/atom

---

Copy entry 1 word for word.
! P2WCS GGA-PBE optimized geometry; values from VASP
&SYSTEM
  ibrav = 0, nat = 5, ntyp = 4
/
ATOMIC_SPECIES
P 30.97 P.upf
W 183.84 W.upf
C 12.01 C.upf
S 32.06 S.upf
CELL_PARAMETERS angstrom
4.744 0.000 0.000
0.000 4.744 0.000
0.000 0.000 4.552
ATOMIC_POSITIONS crystal
P 0.000 0.500 0.000
P 0.500 0.000 0.000
W 0.000 0.000 0.000
C 0.500 0.500 0.500
S 0.000 0.000 0.500
! size of the total moment = 1.48 μB/cell
! calculated total energy = -5.7274 eV/atom
! energy relative to the lowest polymorph listed for this composition = 506 meV/atom
! energy relative to the elements, uncorrected = 1.697 eV/atom
! N(E_F) = 4.2 states/eV/cell

---

What did the second record say?
! AlSiOF2 GGA-PBE optimized geometry; values from VASP
&SYSTEM
  ibrav = 0, nat = 5, ntyp = 4
/
ATOMIC_SPECIES
Al 26.98 Al.upf
Si 28.09 Si.upf
O 16.00 O.upf
F 19.00 F.upf
CELL_PARAMETERS angstrom
4.370 0.000 0.000
0.000 4.370 0.000
0.000 0.000 3.492
ATOMIC_POSITIONS crystal
Al 0.000 0.000 0.000
Si 0.500 0.500 0.500
O 0.500 0.500 0.000
F 0.000 0.500 0.500
F 0.500 0.000 0.500
! size of the total moment = 0.00 μB/cell
! calculated total energy = -4.9820 eV/atom
! energy relative to the lowest polymorph listed for this composition = 355 meV/atom
! energy relative to the elements, uncorrected = -1.409 eV/atom
! N(E_F) = 1.2 states/eV/cell